1.
The following is a PBE-GGA calculation of crystalline Cs2ZrUS6 at its relaxed geometry, from Alexandria.

Values from the calculation:
Total energy (eV/atom): -6.01
E_form (uncorrected) (eV/atom): -1.379

Structure (CIF):
```
data_Cs2ZrUS6
_symmetry_space_group_name_H-M 'R -3 m'
_symmetry_Int_Tables_number 166
_symmetry_space_group_name_Hall '-R 3 2"'
_cell_length_a 7.4795
_cell_length_b 7.4795
_cell_length_c 36.8751
_cell_angle_alpha 90.00
_cell_angle_beta 90.00
_cell_angle_gamma 120.00
loop_
_atom_site_label
_atom_site_fract_x
_atom_site_fract_y
_atom_site_fract_z
Cs1 0.0000 0.0000 0.1269
Cs2 0.0000 0.0000 0.2875
Zr1 0.0000 0.0000 0.4082
U1 0.0000 0.0000 0.0000
U2 0.0000 0.0000 0.5000
S1 0.0080 0.5040 0.7064
S2 0.0319 0.5159 0.1218
```

---

2.
The following is a PBE-GGA calculation of crystalline CsV5S8 at its relaxed geometry, from Alexandria.

Values from the calculation:
Total energy (eV/atom): -6.66
E_form (uncorrected) (eV/atom): -0.983

Structure (CIF):
```
data_CsV5S8
_symmetry_space_group_name_H-M 'C 1 2/m 1'
_symmetry_Int_Tables_number 12
_symmetry_space_group_name_Hall '-C 2y'
_cell_length_a 17.6834
_cell_length_b 3.3469
_cell_length_c 8.9148
_cell_angle_alpha 90.00
_cell_angle_beta 103.56
_cell_angle_gamma 90.00
loop_
_atom_site_label
_atom_site_fract_x
_atom_site_fract_y
_atom_site_fract_z
Cs1 0.0000 0.0000 0.0000
V1 0.0000 0.5000 0.5000
V2 0.1486 0.0000 0.4945
V3 0.2063 0.0000 0.8322
S1 0.0722 0.0000 0.6688
S2 0.0882 0.5000 0.3285
S3 0.1693 0.5000 0.9930
S4 0.2394 0.5000 0.6504
```

---

3.
The following is a PBE-GGA calculation of crystalline CsV2S2 at its relaxed geometry, from Alexandria.

Values from the calculation:
Total energy (eV/atom): -6.23
Relative energy among the computed polymorphs (eV/atom): 0.000
E_form (uncorrected) (eV/atom): -0.765

Structure (CIF):
```
data_CsV2S2
_symmetry_space_group_name_H-M 'P 4/m m m'
_symmetry_Int_Tables_number 123
_symmetry_space_group_name_Hall '-P 4 2'
_cell_length_a 3.6642
_cell_length_b 3.6642
_cell_length_c 7.8384
_cell_angle_alpha 90.00
_cell_angle_beta 90.00
_cell_angle_gamma 90.00
loop_
_atom_site_label
_atom_site_fract_x
_atom_site_fract_y
_atom_site_fract_z
Cs1 0.0000 0.0000 0.0000
V1 0.0000 0.5000 0.5000
S1 0.5000 0.5000 0.2938
```